(i)
# Nd8Tm2Tl GGA-PBE optimized geometry
# Volume (A^3/atom): 34.355
# Total magnetic moment (μB/atom): 0.000
# Space-group type: P2/m
data_Nd8Tm2Tl
_cell_length_a 8.431
_cell_length_b 5.465
_cell_length_c 8.432
_cell_angle_alpha 90.00
_cell_angle_beta 103.42
_cell_angle_gamma 90.00
_symmetry_space_group_name_H-M 'P 1'
_symmetry_Int_Tables_number 1
_symmetry_space_group_name_Hall 'P 1'
loop_
_atom_site_label
_atom_site_type_symbol
_atom_site_fract_x
_atom_site_fract_y
_atom_site_fract_z
Nd1 Nd 0.027 0.000 0.300
Nd2 Nd 0.253 0.500 0.749
Nd3 Nd 0.301 0.000 0.028
Nd4 Nd 0.335 0.500 0.335
Nd5 Nd 0.665 0.500 0.665
Nd6 Nd 0.699 0.000 0.972
Nd7 Nd 0.747 0.500 0.251
Nd8 Nd 0.973 0.000 0.700
Tm1 Tm 0.378 0.000 0.621
Tm2 Tm 0.622 0.000 0.379
Tl1 Tl 0.000 0.500 0.000


(ii)
# Nd8Tm2Tl GGA-PBE optimized geometry
# Volume (A^3/atom): 32.991
# Total magnetic moment (μB/atom): 0.000
# Space-group type: C2/m
data_Nd8Tm2Tl
_cell_length_a 9.522
_cell_length_b 9.522
_cell_length_c 8.120
_cell_angle_alpha 105.27
_cell_angle_beta 105.27
_cell_angle_gamma 30.82
_symmetry_space_group_name_H-M 'P 1'
_symmetry_Int_Tables_number 1
_symmetry_space_group_name_Hall 'P 1'
loop_
_atom_site_label
_atom_site_type_symbol
_atom_site_fract_x
_atom_site_fract_y
_atom_site_fract_z
Nd1 Nd 0.046 0.046 0.226
Nd2 Nd 0.137 0.137 0.681
Nd3 Nd 0.320 0.320 0.591
Nd4 Nd 0.409 0.409 0.056
Nd5 Nd 0.591 0.591 0.944
Nd6 Nd 0.680 0.680 0.409
Nd7 Nd 0.863 0.863 0.319
Nd8 Nd 0.954 0.954 0.774
Tm1 Tm 0.225 0.225 0.133
Tm2 Tm 0.775 0.775 0.867
Tl1 Tl 0.500 0.500 0.500


Winner for stability: (ii)


(i)
# Nd2TmTl3 GGA-PBE optimized geometry
# Volume (A^3/atom): 30.758
# Total magnetic moment (μB/atom): 0.000
# Space-group type: Cmcm
data_Nd2TmTl3
_cell_length_a 14.674
_cell_length_b 14.674
_cell_length_c 6.746
_cell_angle_alpha 90.00
_cell_angle_beta 90.00
_cell_angle_gamma 165.28
_symmetry_space_group_name_H-M 'P 1'
_symmetry_Int_Tables_number 1
_symmetry_space_group_name_Hall 'P 1'
loop_
_atom_site_label
_atom_site_type_symbol
_atom_site_fract_x
_atom_site_fract_y
_atom_site_fract_z
Nd1 Nd 0.005 0.995 0.750
Nd2 Nd 0.155 0.845 0.250
Nd3 Nd 0.845 0.155 0.750
Nd4 Nd 0.995 0.005 0.250
Tm1 Tm 0.332 0.668 0.250
Tm2 Tm 0.668 0.332 0.750
Tl1 Tl 0.253 0.747 0.750
Tl2 Tl 0.422 0.578 0.509
Tl3 Tl 0.422 0.578 0.991
Tl4 Tl 0.578 0.422 0.009
Tl5 Tl 0.578 0.422 0.491
Tl6 Tl 0.747 0.253 0.250


(ii)
# Nd2TmTl3 GGA-PBE optimized geometry
# Volume (A^3/atom): 28.661
# Total magnetic moment (μB/atom): 0.000
# Space-group type: P4/mmm
data_Nd2TmTl3
_cell_length_a 3.813
_cell_length_b 3.813
_cell_length_c 11.828
_cell_angle_alpha 90.00
_cell_angle_beta 90.00
_cell_angle_gamma 90.00
_symmetry_space_group_name_H-M 'P 1'
_symmetry_Int_Tables_number 1
_symmetry_space_group_name_Hall 'P 1'
loop_
_atom_site_label
_atom_site_type_symbol
_atom_site_fract_x
_atom_site_fract_y
_atom_site_fract_z
Nd1 Nd 0.000 0.000 0.173
Nd2 Nd 0.000 0.000 0.827
Tm1 Tm 0.000 0.000 0.500
Tl1 Tl 0.500 0.500 0.000
Tl2 Tl 0.500 0.500 0.347
Tl3 Tl 0.500 0.500 0.653


Winner for stability: (ii)


(i)
# Nd3TmTl3 GGA-PBE optimized geometry
# Volume (A^3/atom): 30.911
# Total magnetic moment (μB/atom): 0.000
# Space-group type: P2_13
data_Nd3TmTl3
_cell_length_a 9.530
_cell_length_b 9.530
_cell_length_c 9.530
_cell_angle_alpha 90.00
_cell_angle_beta 90.00
_cell_angle_gamma 90.00
_symmetry_space_group_name_H-M 'P 1'
_symmetry_Int_Tables_number 1
_symmetry_space_group_name_Hall 'P 1'
loop_
_atom_site_label
_atom_site_type_symbol
_atom_site_fract_x
_atom_site_fract_y
_atom_site_fract_z
Nd1 Nd 0.068 0.432 0.568
Nd2 Nd 0.172 0.828 0.328
Nd3 Nd 0.177 0.177 0.177
Nd4 Nd 0.323 0.823 0.677
Nd5 Nd 0.328 0.172 0.828
Nd6 Nd 0.432 0.568 0.068
Nd7 Nd 0.568 0.068 0.432
Nd8 Nd 0.672 0.672 0.672
Nd9 Nd 0.677 0.323 0.823
Nd10 Nd 0.823 0.677 0.323
Nd11 Nd 0.828 0.328 0.172
Nd12 Nd 0.932 0.932 0.932
Tm1 Tm 0.076 0.576 0.924
Tm2 Tm 0.424 0.424 0.424
Tm3 Tm 0.576 0.924 0.076
Tm4 Tm 0.924 0.076 0.576
Tl1 Tl 0.003 0.257 0.867
Tl2 Tl 0.133 0.503 0.243
Tl3 Tl 0.243 0.133 0.503
Tl4 Tl 0.257 0.867 0.003
Tl5 Tl 0.367 0.497 0.743
Tl6 Tl 0.497 0.743 0.367
Tl7 Tl 0.503 0.243 0.133
Tl8 Tl 0.633 0.997 0.757
Tl9 Tl 0.743 0.367 0.497
Tl10 Tl 0.757 0.633 0.997
Tl11 Tl 0.867 0.003 0.257
Tl12 Tl 0.997 0.757 0.633


(ii)
# Nd3TmTl3 GGA-PBE optimized geometry
# Volume (A^3/atom): 31.612
# Total magnetic moment (μB/atom): 0.000
# Space-group type: C2/m
data_Nd3TmTl3
_cell_length_a 6.868
_cell_length_b 6.868
_cell_length_c 9.686
_cell_angle_alpha 91.08
_cell_angle_beta 91.08
_cell_angle_gamma 104.26
_symmetry_space_group_name_H-M 'P 1'
_symmetry_Int_Tables_number 1
_symmetry_space_group_name_Hall 'P 1'
loop_
_atom_site_label
_atom_site_type_symbol
_atom_site_fract_x
_atom_site_fract_y
_atom_site_fract_z
Nd1 Nd 0.180 0.820 0.000
Nd2 Nd 0.242 0.758 0.500
Nd3 Nd 0.407 0.407 0.184
Nd4 Nd 0.593 0.593 0.816
Nd5 Nd 0.758 0.242 0.500
Nd6 Nd 0.820 0.180 0.000
Tm1 Tm 0.277 0.277 0.544
Tm2 Tm 0.723 0.723 0.456
Tl1 Tl 0.032 0.032 0.271
Tl2 Tl 0.055 0.478 0.763
Tl3 Tl 0.478 0.055 0.763
Tl4 Tl 0.522 0.945 0.237
Tl5 Tl 0.945 0.522 0.237
Tl6 Tl 0.968 0.968 0.729


Winner for stability: (i)


(i)
# NdTm4Tl GGA-PBE optimized geometry
# Volume (A^3/atom): 29.944
# Total magnetic moment (μB/atom): 0.000
# Space-group type: P4/mmm
data_NdTm4Tl
_cell_length_a 3.570
_cell_length_b 3.570
_cell_length_c 14.099
_cell_angle_alpha 90.00
_cell_angle_beta 90.00
_cell_angle_gamma 90.00
_symmetry_space_group_name_H-M 'P 1'
_symmetry_Int_Tables_number 1
_symmetry_space_group_name_Hall 'P 1'
loop_
_atom_site_label
_atom_site_type_symbol
_atom_site_fract_x
_atom_site_fract_y
_atom_site_fract_z
Nd1 Nd 0.000 0.000 0.000
Tm1 Tm 0.000 0.000 0.351
Tm2 Tm 0.000 0.000 0.649
Tm3 Tm 0.500 0.500 0.180
Tm4 Tm 0.500 0.500 0.820
Tl1 Tl 0.500 0.500 0.500


(ii)
# NdTm4Tl GGA-PBE optimized geometry
# Volume (A^3/atom): 31.349
# Total magnetic moment (μB/atom): 0.000
# Space-group type: Cmc2_1
data_NdTm4Tl
_cell_length_a 10.847
_cell_length_b 10.847
_cell_length_c 6.492
_cell_angle_alpha 90.00
_cell_angle_beta 90.00
_cell_angle_gamma 150.50
_symmetry_space_group_name_H-M 'P 1'
_symmetry_Int_Tables_number 1
_symmetry_space_group_name_Hall 'P 1'
loop_
_atom_site_label
_atom_site_type_symbol
_atom_site_fract_x
_atom_site_fract_y
_atom_site_fract_z
Nd1 Nd 0.063 0.937 0.500
Nd2 Nd 0.937 0.063 0.000
Tm1 Tm 0.140 0.860 0.014
Tm2 Tm 0.256 0.744 0.378
Tm3 Tm 0.316 0.684 0.857
Tm4 Tm 0.459 0.541 0.676
Tm5 Tm 0.541 0.459 0.176
Tm6 Tm 0.684 0.316 0.357
Tm7 Tm 0.744 0.256 0.878
Tm8 Tm 0.860 0.140 0.514
Tl1 Tl 0.398 0.602 0.253
Tl2 Tl 0.602 0.398 0.753


Winner for stability: (i)


(i)
# Nd3Tm2Tl2 GGA-PBE optimized geometry
# Volume (A^3/atom): 30.615
# Total magnetic moment (μB/atom): 0.025
# Space-group type: Cmmm
data_Nd3Tm2Tl2
_cell_length_a 5.069
_cell_length_b 23.622
_cell_length_c 3.579
_cell_angle_alpha 90.00
_cell_angle_beta 90.00
_cell_angle_gamma 90.00
_symmetry_space_group_name_H-M 'P 1'
_symmetry_Int_Tables_number 1
_symmetry_space_group_name_Hall 'P 1'
loop_
_atom_site_label
_atom_site_type_symbol
_atom_site_fract_x
_atom_site_fract_y
_atom_site_fract_z
Nd1 Nd 0.000 0.000 0.000
Nd2 Nd 0.000 0.147 0.000
Nd3 Nd 0.000 0.853 0.000
Nd4 Nd 0.500 0.353 0.000
Nd5 Nd 0.500 0.500 0.000
Nd6 Nd 0.500 0.647 0.000
Tm1 Tm 0.000 0.287 0.500
Tm2 Tm 0.000 0.713 0.500
Tm3 Tm 0.500 0.213 0.500
Tm4 Tm 0.500 0.787 0.500
Tl1 Tl 0.000 0.427 0.500
Tl2 Tl 0.000 0.573 0.500
Tl3 Tl 0.500 0.073 0.500
Tl4 Tl 0.500 0.927 0.500


(ii)
# Nd3Tm2Tl2 GGA-PBE optimized geometry
# Volume (A^3/atom): 30.448
# Total magnetic moment (μB/atom): 0.000
# Space-group type: C2/m
data_Nd3Tm2Tl2
_cell_length_a 9.545
_cell_length_b 5.519
_cell_length_c 8.700
_cell_angle_alpha 90.00
_cell_angle_beta 111.53
_cell_angle_gamma 90.00
_symmetry_space_group_name_H-M 'P 1'
_symmetry_Int_Tables_number 1
_symmetry_space_group_name_Hall 'P 1'
loop_
_atom_site_label
_atom_site_type_symbol
_atom_site_fract_x
_atom_site_fract_y
_atom_site_fract_z
Nd1 Nd 0.000 0.000 0.000
Nd2 Nd 0.158 0.000 0.473
Nd3 Nd 0.342 0.500 0.527
Nd4 Nd 0.500 0.500 0.000
Nd5 Nd 0.658 0.500 0.473
Nd6 Nd 0.842 0.000 0.527
Tm1 Tm 0.073 0.500 0.717
Tm2 Tm 0.427 0.000 0.283
Tm3 Tm 0.573 0.000 0.717
Tm4 Tm 0.927 0.500 0.283
Tl1 Tl 0.212 0.500 0.137
Tl2 Tl 0.288 0.000 0.863
Tl3 Tl 0.712 0.000 0.137
Tl4 Tl 0.788 0.500 0.863


Winner for stability: (ii)